Entry 1:
Density functional theory data (PBE-GGA) for a relaxed structure of CrMo2Cl.

Geometry as POSCAR:
```
CrMo2Cl
1.0
-2.5786 1.3250 0.5088
-0.5921 -1.9596 2.1022
3.2291 4.3693 4.9875
Mo Cl Cr
2 1 1
Direct
0.0000 0.2496 0.9550
0.0000 0.2504 0.5450
0.5000 0.2500 0.2500
0.5000 0.7500 0.7500
```

Output
ΔE_f (raw) ... 0.91 eV/f.u.
Density ... 7.282 g/cm³
Distance to the lowest polymorph of the same formula ... 0.000 eV/atom
Crystal system ... orthorhombic
Density of states at the Fermi level ... 0.76 states/eV per atom

=====

Entry 2:
Density functional theory data (PBE-GGA) for a relaxed structure of Cr2MoCl.

Geometry as POSCAR:
```
Cr2MoCl
1.0
-0.8698 -0.1418 4.9627
2.0609 -0.1973 4.5955
0.0958 4.2049 0.1294
Cl Mo Cr
1 1 2
Direct
0.2388 0.2388 0.2447
0.4741 0.4741 0.5350
0.7546 0.7546 0.7668
0.0325 0.0325 0.9534
```

Output
ΔE_f (raw) ... 2.47 eV/f.u.
Density ... 6.525 g/cm³
Distance to the lowest polymorph of the same formula ... 0.414 eV/atom
Crystal system ... monoclinic
Density of states at the Fermi level ... 1.03 states/eV per atom

=====

Entry 3:
Density functional theory data (PBE-GGA) for a relaxed structure of CrMo2Cl.

Geometry as POSCAR:
```
CrMo2Cl
1.0
-1.4004 0.3450 -2.5330
-0.0420 -2.8908 -0.3705
-6.1857 -0.3425 3.3731
Mo Cr Cl
2 1 1
Direct
0.0000 0.0000 0.9690
0.0000 0.0000 0.5310
0.5000 0.5000 0.7500
0.5000 0.5000 0.2500
```

Output
ΔE_f (raw) ... 1.26 eV/f.u.
Density ... 7.740 g/cm³
Distance to the lowest polymorph of the same formula ... 0.088 eV/atom
Crystal system ... tetragonal
Density of states at the Fermi level ... 0.82 states/eV per atom